Tb2Nd3Ho6Pb | PBE | optimized geometry

Geometry as extended XYZ:
```
12
Lattice="3.074 -5.323 0.000 3.074 5.323 0.000 -2.060 0.000 11.518" Properties=species:S:1:pos:R:3 pbc="T T T"
Tb 3.074 3.556 0.000
Tb 3.074 -3.556 0.000
Nd -1.030 0.000 5.759
Nd 2.044 1.785 5.759
Nd 2.044 -1.785 5.759
Ho 0.012 1.743 8.701
Ho 1.053 0.000 2.832
Ho 0.012 -1.743 8.701
Ho 4.075 1.743 2.817
Ho 3.035 0.000 8.686
Ho 4.075 -1.743 2.817
Pb 3.074 0.000 0.000
```

## Properties
Calculated formation energy   -0.631 eV per formula unit
Total magnetization   0.00 μB per formula unit

---

CaZn2W | PBE | optimized geometry

Geometry as extended XYZ:
```
4
Lattice="2.881 0.000 0.000 0.000 2.881 0.000 0.000 0.000 8.565" Properties=species:S:1:pos:R:3 pbc="T T T"
Ca 0.000 0.000 0.000
Zn 1.441 1.441 2.346
Zn 1.441 1.441 6.218
W 0.000 0.000 4.282
```

## Properties
Offset from the most stable computed form   18 meV per atom
Calculated formation energy   1.115 eV per formula unit
Total magnetization   0.00 μB per formula unit

---

AlCd3Co | PBE | optimized geometry

Geometry as extended XYZ:
```
5
Lattice="4.963 0.000 0.000 0.000 4.963 0.000 0.000 0.000 4.963" Properties=species:S:1:pos:R:3 pbc="T T T"
Al 0.000 0.000 0.000
Cd 0.000 2.482 2.482
Cd 2.482 0.000 2.482
Cd 2.482 2.482 0.000
Co 2.482 2.482 2.482
```

## Properties
Offset from the most stable computed form   0 meV per atom
Calculated formation energy   2.774 eV per formula unit
Total magnetization   0.00 μB per formula unit

---

Li2AcMnN4 | PBE | optimized geometry

Geometry as extended XYZ:
```
8
Lattice="-2.733 2.733 3.381 2.733 -2.733 3.381 2.733 2.733 -3.381" Properties=species:S:1:pos:R:3 pbc="T T T"
Li 2.733 0.000 1.691
Li 0.000 2.733 1.691
Ac 0.000 0.000 0.000
Mn 0.000 0.000 3.381
N 0.976 -0.976 2.366
N 1.757 1.757 1.016
N -0.976 0.976 2.366
N 0.976 0.976 4.397
```

## Properties
Energy relative to the elements, uncorrected   -0.601 eV/atom
Total magnetization   0.00 μB per formula unit

---

BeReCl2 | PBE | optimized geometry

Geometry as extended XYZ:
```
4
Lattice="2.767 -4.170 0.000 2.767 4.170 0.000 -0.793 0.000 2.747" Properties=species:S:1:pos:R:3 pbc="T T T"
Be 0.000 0.000 0.000
Re 2.767 0.000 0.000
Cl 1.383 2.085 0.000
Cl 1.383 -2.085 0.000
```

## Properties
Offset from the most stable computed form   980 meV per atom
Energy relative to the elements, uncorrected   0.880 eV/atom
Total magnetization   0.00 μB per formula unit

---

KOs2W | PBE | optimized geometry

Geometry as extended XYZ:
```
4
Lattice="5.354 0.000 0.000 0.000 2.601 0.000 -2.622 0.000 4.982" Properties=species:S:1:pos:R:3 pbc="T T T"
K 0.000 0.000 0.000
Os -1.311 0.000 2.491
Os 2.677 1.301 0.000
W 1.366 1.301 2.491
```

## Properties
Offset from the most stable computed form   904 meV per atom
Calculated formation energy   6.367 eV per formula unit
Total magnetization   0.00 μB per formula unit

---

Li2ReOs | PBE | optimized geometry

Geometry as extended XYZ:
```
4
Lattice="-1.781 1.781 4.505 1.781 -1.781 4.505 1.781 1.781 -4.505" Properties=species:S:1:pos:R:3 pbc="T T T"
Li 1.781 0.000 2.252
Li 0.000 1.781 2.252
Re 0.000 0.000 0.000
Os 0.000 0.000 4.505
```

## Properties
Offset from the most stable computed form   242 meV per atom
Calculated formation energy   1.425 eV per formula unit
Total magnetization   0.00 μB per formula unit

---

GeHSCl2 | PBE | optimized geometry

Geometry as extended XYZ:
```
5
Lattice="5.167 0.000 0.000 0.000 5.167 0.000 0.000 0.000 3.293" Properties=species:S:1:pos:R:3 pbc="T T T"
Ge 0.000 0.000 0.000
H 2.584 2.584 1.647
S 2.584 2.584 0.000
Cl 0.000 2.584 1.647
Cl 2.584 0.000 1.647
```

## Properties
Offset from the most stable computed form   0 meV per atom
Total magnetization   0.98 μB per formula unit

---

TaCd2Co | PBE | optimized geometry

Geometry as extended XYZ:
```
4
Lattice="-1.494 2.309 5.018 1.494 -2.309 5.018 1.494 2.309 -5.018" Properties=species:S:1:pos:R:3 pbc="T T T"
Ta 0.000 0.000 0.000
Cd 1.494 0.000 2.793
Cd 0.000 2.309 2.225
Co 0.000 0.000 5.018
```

## Properties
Offset from the most stable computed form   286 meV per atom
Calculated formation energy   1.431 eV per formula unit
Total magnetization   1.23 μB per formula unit

---

BePdO2F | PBE | optimized geometry

Geometry as extended XYZ:
```
5
Lattice="3.734 0.000 0.000 0.000 3.734 0.000 0.000 0.000 3.157" Properties=species:S:1:pos:R:3 pbc="T T T"
Be 0.000 0.000 0.000
Pd 1.867 1.867 1.579
O 0.000 1.867 0.000
O 1.867 0.000 0.000
F 0.000 0.000 1.579
```

## Properties
Energy relative to the elements, uncorrected   -0.965 eV/atom
Total magnetization   0.00 μB per formula unit

---

Tb7Pm3Nd2 | PBE | optimized geometry

Geometry as extended XYZ:
```
12
Lattice="5.877 0.000 0.000 0.000 3.606 0.000 -1.066 0.000 18.941" Properties=species:S:1:pos:R:3 pbc="T T T"
Tb 0.000 0.000 0.000
Tb 0.924 1.803 3.282
Tb 0.939 1.803 10.182
Tb 0.925 0.000 16.243
Tb 3.885 0.000 2.698
Tb 3.872 1.803 8.759
Tb 3.886 1.803 15.658
Pm 0.912 0.000 6.977
Pm 2.938 1.803 0.000
Pm 3.898 0.000 11.964
Nd 0.951 1.803 13.388
Nd 3.860 1.803 5.553
```

## Properties
Offset from the most stable computed form   4 meV per atom
Calculated formation energy   0.993 eV per formula unit
Total magnetization   0.00 μB per formula unit

---

SiNiTe2 | PBE | optimized geometry

Geometry as extended XYZ:
```
4
Lattice="-1.950 1.950 5.687 1.950 -1.950 5.687 1.950 1.950 -5.687" Properties=species:S:1:pos:R:3 pbc="T T T"
Si 0.000 0.000 0.000
Ni 0.000 1.950 2.843
Te 1.950 0.000 2.843
Te 0.000 0.000 5.687
```

## Properties
Energy relative to the elements, uncorrected   0.528 eV/atom
Total magnetization   0.00 μB per formula unit

---

Tc2MoHPt | PBE | optimized geometry

Geometry as extended XYZ:
```
5
Lattice="3.951 0.000 0.000 0.000 3.951 0.000 0.000 0.000 3.963" Properties=species:S:1:pos:R:3 pbc="T T T"
Tc 0.000 1.975 0.000
Tc 1.975 0.000 0.000
Mo 0.000 0.000 1.982
H 0.000 0.000 0.000
Pt 1.975 1.975 1.982
```

## Properties
Offset from the most stable computed form   0 meV per atom
Total magnetization   0.00 μB per formula unit

---

Mn2NbGaIr | PBE | optimized geometry

Geometry as extended XYZ:
```
5
Lattice="4.488 0.000 0.000 0.000 4.488 0.000 0.000 0.000 4.846" Properties=species:S:1:pos:R:3 pbc="T T T"
Mn 0.000 2.244 0.000
Mn 2.244 0.000 0.000
Nb 0.000 0.000 0.000
Ga 0.000 0.000 2.423
Ir 2.244 2.244 2.423
```

## Properties
Calculated formation energy   7.457 eV per formula unit
Total magnetization   5.11 μB per formula unit

---

YTcPH | PBE | optimized geometry

Geometry as extended XYZ:
```
8
Lattice="4.035 0.000 0.000 0.000 4.035 0.000 0.000 0.000 7.225" Properties=species:S:1:pos:R:3 pbc="T T T"
Y 1.009 1.009 1.154
Y 3.026 3.026 6.071
Tc 1.009 3.026 3.613
Tc 3.026 1.009 3.613
P 1.009 1.009 4.870
P 3.026 3.026 2.355
H 1.009 3.026 0.000
H 3.026 1.009 0.000
```

## Properties
Total magnetization   0.00 μB per formula unit

---

Na2AuI | PBE | optimized geometry

Geometry as extended XYZ:
```
4
Lattice="3.853 0.000 0.000 0.000 3.853 0.000 0.000 0.000 7.553" Properties=species:S:1:pos:R:3 pbc="T T T"
Na 0.000 0.000 1.805
Na 0.000 0.000 5.748
Au 1.927 1.927 0.000
I 1.927 1.927 3.776
```

## Properties
Offset from the most stable computed form   71 meV per atom
Energy relative to the elements, uncorrected   -0.610 eV/atom
Total magnetization   0.00 μB per formula unit

---

ScCdCuPb2 | PBE | optimized geometry

Geometry as extended XYZ:
```
5
Lattice="5.540 0.000 0.000 0.000 5.540 0.000 0.000 0.000 5.423" Properties=species:S:1:pos:R:3 pbc="T T T"
Sc 0.000 0.000 0.000
Cd 0.000 0.000 2.711
Cu 2.770 2.770 0.000
Pb 0.000 2.770 2.711
Pb 2.770 0.000 2.711
```

## Properties
Calculated formation energy   4.277 eV per formula unit
Total magnetization   0.00 μB per formula unit

---

Si2TcHg | PBE | optimized geometry

Geometry as extended XYZ:
```
4
Lattice="3.351 0.000 0.000 0.000 4.288 0.000 -1.616 0.000 4.671" Properties=species:S:1:pos:R:3 pbc="T T T"
Si 0.000 0.000 0.000
Si 0.059 2.144 3.907
Tc 0.006 2.144 1.133
Hg 1.675 0.000 2.173
```

## Properties
Energy relative to the elements, uncorrected   0.220 eV/atom
Total magnetization   0.00 μB per formula unit

---

Be2CoPt2 | PBE | optimized geometry

Geometry as extended XYZ:
```
10
Lattice="6.782 0.000 0.000 0.000 6.782 0.000 0.000 0.000 2.689" Properties=species:S:1:pos:R:3 pbc="T T T"
Be 1.024 2.367 0.000
Be 2.367 5.758 0.000
Be 4.414 1.024 0.000
Be 5.758 4.414 0.000
Co 0.000 0.000 1.344
Co 3.391 3.391 1.344
Pt 1.003 4.394 1.344
Pt 2.388 1.003 1.344
Pt 4.394 5.779 1.344
Pt 5.779 2.388 1.344
```

## Properties
Offset from the most stable computed form   153 meV per atom
Calculated formation energy   -1.594 eV per formula unit
Total magnetization   2.03 μB per formula unit

---

CaRePb2 | PBE | optimized geometry

Geometry as extended XYZ:
```
4
Lattice="-1.690 2.908 5.161 1.690 -2.908 5.161 1.690 2.908 -5.161" Properties=species:S:1:pos:R:3 pbc="T T T"
Ca 0.000 0.000 0.000
Re 0.000 0.000 5.161
Pb 1.690 0.000 2.920
Pb 0.000 2.908 2.241
```

## Properties
Offset from the most stable computed form   80 meV per atom
Calculated formation energy   1.834 eV per formula unit
Total magnetization   0.00 μB per formula unit

---

no.,raw total energy (eV for the cell shown)
1,-55.37
2,-16.39
3,-10.82
4,-55.22
5,-16.35
6,-30.14
7,-26.08
8,-14.20
9,-19.36
10,-25.53
11,-55.21
12,-15.38
13,-41.53
14,-32.84
15,-57.91
16,-9.91
17,-14.48
18,-20.63
19,-56.47
20,-20.03